No. 1
A PBEsol-optimized structure of Y2AlZn, computed with meta-GGA SCAN.

a b c (Å): 5.0175 5.0175 5.0175
angles (deg): 60.00 60.00 60.00
Closest atoms and distances in Å follow each position.
Fractional coordinates of all 4 atoms:
Zn  0.0000  0.0000  0.0000  8 Y 3.07
Y  0.2500  0.2500  0.2500  4 Al 3.07, 4 Zn 3.07
Al  0.5000  0.5000  0.5000  8 Y 3.07
Y  0.7500  0.7500  0.7500  4 Al 3.07, 4 Zn 3.07

E_form = -453 meV per atom
energy above the most stable polymorph in this dataset = 10.3 meV per atom

=====

No. 2
A PBEsol-optimized structure of YAl2Zn, computed with meta-GGA SCAN.

a b c (Å): 3.1005 3.1005 9.5259
angles (deg): 80.63 80.63 60.00
Closest atoms and distances in Å follow each position.
Fractional coordinates of all 4 atoms:
Al  0.2599  0.2599  0.2204  3 Zn 2.73
Zn  0.0000  0.0000  0.0000  6 Al 2.73
Y  0.5000  0.5000  0.5000  6 Y 3.10, 6 Al 3.17
Al  0.7401  0.7401  0.7796  3 Zn 2.73

E_form = 62 meV per atom

=====

No. 3
A PBEsol-optimized structure of Y2AlZn, computed with meta-GGA SCAN.

a b c (Å): 3.5133 3.5133 7.2062
angles (deg): 90.00 90.00 90.00
Closest atoms and distances in Å follow each position.
Fractional coordinates of all 4 atoms:
Zn  0.5000  0.5000  0.0000  8 Y 3.04
Y  0.0000  0.0000  0.7565  4 Zn 3.04, 4 Al 3.10
Al  0.5000  0.5000  0.5000  8 Y 3.10
Y  0.0000  0.0000  0.2435  4 Zn 3.04, 4 Al 3.10

E_form = -464 meV per atom
energy above the most stable polymorph in this dataset = 0.0 meV per atom

=====

No. 4
A PBEsol-optimized structure of Y2AlZn2, computed with meta-GGA SCAN.

a b c (Å): 3.5003 4.3071 7.1795
angles (deg): 107.46 90.00 90.00
Closest atoms and distances in Å follow each position.
Fractional coordinates of all 5 atoms:
Zn  0.0000  0.7997  0.5994  2 Zn 2.55, 1 Al 2.74
Y  0.5000  0.3792  0.7584  6 Zn 2.98-3.01, 4 Al 3.23, 1 Y 3.31
Y  0.5000  0.6208  0.2416  6 Zn 2.98-3.01, 4 Al 3.23, 1 Y 3.31
Al  0.0000  0.0000  0.0000  2 Zn 2.74
Zn  0.0000  0.2003  0.4006  2 Zn 2.55, 1 Al 2.74

E_form = -478 meV per atom

=====

No. 5
A PBEsol-optimized structure of YAl2Zn, computed with meta-GGA SCAN.

a b c (Å): 4.2117 4.1998 4.1998
angles (deg): 90.00 90.00 90.00
Closest atoms and distances in Å follow each position.
Fractional coordinates of all 4 atoms:
Zn  0.5000  0.0000  0.0000  4 Y 2.97, 8 Al 2.97
Al  0.0000  0.5000  0.0000  4 Al 2.97, 4 Zn 2.97, 4 Y 2.97
Y  0.5000  0.5000  0.5000  4 Zn 2.97, 8 Al 2.97
Al  0.0000  0.0000  0.5000  4 Al 2.97, 4 Y 2.97, 4 Zn 2.97

E_form = -414 meV per atom

=====

No. 6
A PBEsol-optimized structure of Y2AlZn, computed with meta-GGA SCAN.

a b c (Å): 3.5663 4.8510 5.9602
angles (deg): 114.01 107.41 90.00
Closest atoms and distances in Å follow each position.
Fractional coordinates of all 4 atoms:
Y  0.7677  0.2677  0.5354  4 Al 3.07, 2 Zn 3.23, 4 Y 3.35
Y  0.9918  0.9918  0.9836  4 Zn 3.04, 4 Al 3.31-3.39, 4 Y 3.35
Al  0.2112  0.7112  0.4224  2 Zn 2.58
Zn  0.5293  0.5293  0.0586  2 Al 2.58

E_form = -392 meV per atom
energy above the most stable polymorph in this dataset = 71.5 meV per atom

=====

Calculated volume list, top to bottom, in A^3/atom: 22.33; 19.47; 22.24; 20.65; 18.57; 22.25
Fermi-level density of states list, top to bottom, in states/eV per atom: 0.59; 0.74; 0.56; 0.73; 0.27; 0.92